4
Lattice="3.978 0.000 0.000 0.000 5.121 0.000 -1.989 -2.560 5.666" Properties=species:S:1:pos:R:3 comment="Pm3Si | Alexandria | PBE | optimized geometry" raw_formation_energy_ev_per_fu=-1.07 polymorph_energy_mev_per_atom=110 sg="Immm (71)" vol_a3_per_atom=28.852 total_magnetization_mub_per_atom=0.000 energy_ev_per_atom=-5.19 pbc="T T T"
Pm 1.989 -0.428 2.297
Pm 1.989 2.134 0.000
Pm 0.000 2.133 3.369
Si 0.000 4.696 0.000